Record 1
AlHgMo2Os after structural relaxation, computed with PBE.

Computed properties:
**Formation energy**: 1.892 eV/atom

The structure in POSCAR format:
```
AlHgMo2Os
1.0
4.570 0.000 0.000
0.000 4.570 0.000
0.000 0.000 4.565
Al Hg Mo Os
1 1 2 1
direct
0.000 0.000 0.000
0.000 0.000 0.500
0.000 0.500 0.000
0.500 0.000 0.000
0.500 0.500 0.500
```


Record 2
Al2HgMoOs after structural relaxation, computed with PBE.

Computed properties:
**Formation energy**: 1.098 eV/atom

The structure in POSCAR format:
```
Al2HgMoOs
1.0
4.893 0.000 0.000
0.000 4.893 0.000
0.000 0.000 4.737
Al Hg Mo Os
2 1 1 1
direct
0.000 0.500 0.000
0.500 0.000 0.000
0.000 0.000 0.500
0.500 0.500 0.000
0.500 0.500 0.500
```


Record 3
Al2HgMoOs after structural relaxation, computed with PBE.

Computed properties:
**Formation energy**: 1.759 eV/atom

The structure in POSCAR format:
```
Al2HgMoOs
1.0
4.722 0.000 0.000
0.000 4.722 0.000
0.000 0.000 5.114
Al Hg Mo Os
2 1 1 1
direct
0.000 0.500 0.000
0.500 0.000 0.000
0.000 0.000 0.500
0.000 0.000 0.000
0.500 0.500 0.500
```


Record 4
AlHgMoS2 after structural relaxation, computed with PBE.

Computed properties:
**ΔE_f (raw)**: 0.699 eV/atom

The structure in POSCAR format:
```
AlHgMoS2
1.0
4.689 0.000 0.000
0.000 4.689 0.000
0.000 0.000 5.104
Al Hg Mo S
1 1 1 2
direct
0.000 0.000 0.000
0.000 0.000 0.500
0.500 0.500 0.500
0.000 0.500 0.000
0.500 0.000 0.000
```


Record 5
AlHgSb2Mo after structural relaxation, computed with PBE.

Computed properties:
**ΔE_f (raw)**: 1.445 eV/atom

The structure in POSCAR format:
```
AlHgSb2Mo
1.0
5.509 0.000 0.000
0.000 5.509 0.000
0.000 0.000 5.359
Al Hg Sb Mo
1 1 2 1
direct
0.000 0.000 0.000
0.500 0.500 0.500
0.000 0.500 0.500
0.500 0.000 0.500
0.500 0.500 0.000
```


Record 6
AlHgTeMo2 after structural relaxation, computed with PBE.

Computed properties:
**ΔE_f (raw)**: 1.290 eV/atom

The structure in POSCAR format:
```
AlHgTeMo2
1.0
4.905 0.000 0.000
0.000 4.905 0.000
0.000 0.000 4.778
Al Hg Te Mo
1 1 1 2
direct
0.000 0.000 0.000
0.000 0.000 0.500
0.500 0.500 0.500
0.000 0.500 0.000
0.500 0.000 0.000
```


Record 7
AlHg2N after structural relaxation, computed with PBE.

Computed properties:
**ΔE_f (raw)**: 0.853 eV/atom

The structure in POSCAR format:
```
AlHg2N
1.0
-3.078 3.078 4.521
3.078 -3.078 4.521
3.078 3.078 -4.521
Al Hg N
2 4 2
direct
0.000 0.000 0.000
0.750 0.250 0.500
0.182 0.625 0.057
0.375 0.432 0.557
0.568 0.125 0.943
0.875 0.818 0.443
0.250 0.750 0.500
0.500 0.500 0.000
```


Record 8
AlHg2N after structural relaxation, computed with PBE.

Computed properties:
**ΔE_f (raw)**: 1.165 eV/atom

The structure in POSCAR format:
```
AlHg2N
1.0
0.000 3.302 3.302
3.302 0.000 3.302
3.302 3.302 0.000
Al Hg N
1 2 1
direct
0.000 0.000 0.000
0.250 0.250 0.250
0.750 0.750 0.750
0.500 0.500 0.500
```